Record 1
This record from Alexandria via LeMat-Bulk describes a relaxed structure of Sc2CoIr. The functional is PBE.

Cell: 3.006 4.216 5.321 Å, 90.00 90.00 90.00°
Fractional positions:
Sc (0.000, 0.000, 0.949)
Sc (0.500, 0.500, 0.304)
Co (0.000, 0.000, 0.454)
Ir (0.500, 0.500, 0.793)

Output
The calculation puts the total energy at -7.522 eV per atom. For the formation energy, the calculation gives -0.36 eV per atom. The calculation puts the density of states at the Fermi level at 0.56 states/eV per atom. The energy above the most stable polymorph in this dataset comes out at 138 kJ/mol of formula units.

Record 2
This record from Alexandria via LeMat-Bulk describes a relaxed structure of ScCoIr2. The functional is PBE.

Cell: 4.452 2.856 4.606 Å, 90.01 90.00 90.00°
Fractional positions:
Ir (0.000, 0.875, 0.057)
Ir (0.500, 0.375, 0.179)
Co (0.500, 0.875, 0.695)
Sc (0.000, 0.375, 0.568)

Output
The calculation puts the total energy at -8.102 eV per atom. For the formation energy, the calculation gives -0.31 eV per atom. The calculation puts the density of states at the Fermi level at 1.10 states/eV per atom.

Record 3
This record from Alexandria via LeMat-Bulk describes a relaxed structure of Sc5Co4Ir. The functional is PBE.

Cell: 3.142 3.142 15.766 Å, 90.00 90.00 90.00°
Fractional positions:
Co (0.000, 0.000, 0.599)
Co (0.000, 0.000, 0.204)
Co (0.000, 0.000, 0.401)
Co (0.000, 0.000, 0.796)
Sc (0.500, 0.500, 0.500)
Sc (0.500, 0.500, 0.106)
Sc (0.500, 0.500, 0.697)
Sc (0.500, 0.500, 0.303)
Sc (0.500, 0.500, 0.894)
Ir (0.000, 0.000, 0.000)

Output
The calculation puts the total energy at -7.385 eV per atom. For the formation energy, the calculation gives -0.49 eV per atom. The calculation puts the density of states at the Fermi level at 0.55 states/eV per atom.

Record 4
This record from Alexandria via LeMat-Bulk describes a relaxed structure of ScCoIr2. The functional is PBE.

Cell: 4.728 4.728 4.751 Å, 79.11 79.11 34.62°
Fractional positions:
Sc (0.750, 0.750, 0.750)
Ir (0.992, 0.992, 0.019)
Ir (0.508, 0.508, 0.481)
Co (0.250, 0.250, 0.250)

Output
The calculation puts the total energy at -8.108 eV per atom. For the formation energy, the calculation gives -0.32 eV per atom. The calculation puts the density of states at the Fermi level at 1.14 states/eV per atom.

Record 5
This record from Alexandria via LeMat-Bulk describes a relaxed structure of ScCoIr2. The functional is PBE.

Cell: 4.759 4.759 4.759 Å, 131.39 131.39 71.19°
Fractional positions:
Co (0.750, 0.250, 0.500)
Ir (0.000, 0.000, 0.000)
Ir (0.500, 0.500, 0.000)
Sc (0.250, 0.750, 0.500)

Output
The calculation puts the total energy at -8.124 eV per atom. For the formation energy, the calculation gives -0.33 eV per atom. The calculation puts the density of states at the Fermi level at 1.51 states/eV per atom.

Record 6
This record from Alexandria via LeMat-Bulk describes a relaxed structure of Sc2CoIr. The functional is PBE.

Cell: 5.198 5.198 4.516 Å, 72.73 72.73 34.98°
Fractional positions:
Co (0.509, 0.509, 0.552)
Sc (0.765, 0.765, 0.691)
Sc (0.986, 0.986, 0.053)
Ir (0.240, 0.240, 0.205)

Output
The calculation puts the total energy at -7.625 eV per atom. For the formation energy, the calculation gives -0.47 eV per atom. The calculation puts the density of states at the Fermi level at 0.88 states/eV per atom. The energy above the most stable polymorph in this dataset comes out at 98 kJ/mol of formula units.

Record 7
This record from Alexandria via LeMat-Bulk describes a relaxed structure of ScCoIr2. The functional is PBE.

Cell: 4.579 4.579 2.880 Å, 90.00 90.00 105.06°
Fractional positions:
Co (0.000, 0.500, 0.500)
Ir (0.000, 0.000, 0.000)
Ir (0.500, 0.500, 0.000)
Sc (0.500, 0.000, 0.500)

Output
The calculation puts the total energy at -8.134 eV per atom. For the formation energy, the calculation gives -0.34 eV per atom. The calculation puts the density of states at the Fermi level at 0.95 states/eV per atom.

Record 8
This record from Alexandria via LeMat-Bulk describes a relaxed structure of ScCoIr. The functional is PBE.

Cell: 4.216 4.216 4.216 Å, 60.00 60.00 60.00°
Fractional positions:
Sc (0.750, 0.750, 0.750)
Ir (0.500, 0.500, 0.500)
Co (0.000, 0.000, 0.000)

Output
The calculation puts the total energy at -7.067 eV per atom. For the formation energy, the calculation gives 0.37 eV per atom. The calculation puts the density of states at the Fermi level at 1.71 states/eV per atom. The energy above the most stable polymorph in this dataset comes out at 287 kJ/mol of formula units.

Record 9
This record from Alexandria via LeMat-Bulk describes a relaxed structure of ScCo2Ir2. The functional is PBE.

Cell: 7.178 7.178 2.749 Å, 90.00 90.00 90.00°
Fractional positions:
Ir (0.677, 0.823, 0.500)
Ir (0.823, 0.323, 0.500)
Ir (0.323, 0.177, 0.500)
Ir (0.177, 0.677, 0.500)
Co (0.381, 0.881, 0.000)
Co (0.619, 0.119, 0.000)
Co (0.881, 0.619, 0.000)
Co (0.119, 0.381, 0.000)
Sc (0.000, 0.000, 0.000)
Sc (0.500, 0.500, 0.000)

Output
The calculation puts the total energy at -7.879 eV per atom. For the formation energy, the calculation gives -0.23 eV per atom. The calculation puts the density of states at the Fermi level at 1.28 states/eV per atom. The energy above the most stable polymorph in this dataset comes out at 0 kJ/mol of formula units.

Record 10
This record from Alexandria via LeMat-Bulk describes a relaxed structure of ScCoIr2. The functional is PBE.

Cell: 8.850 8.850 8.850 Å, 18.30 18.30 18.30°
Fractional positions:
Sc (0.497, 0.497, 0.497)
Ir (0.251, 0.251, 0.251)
Ir (0.004, 0.004, 0.004)
Co (0.748, 0.748, 0.748)

Output
The calculation puts the total energy at -7.725 eV per atom. For the formation energy, the calculation gives 0.07 eV per atom. The calculation puts the density of states at the Fermi level at 1.34 states/eV per atom.

Record 11
This record from Alexandria via LeMat-Bulk describes a relaxed structure of ScCo4Ir. The functional is PBE.

Cell: 4.779 4.779 4.779 Å, 60.00 60.00 60.00°
Fractional positions:
Ir (0.250, 0.250, 0.250)
Co (0.625, 0.125, 0.625)
Co (0.625, 0.625, 0.125)
Co (0.125, 0.625, 0.625)
Co (0.625, 0.625, 0.625)
Sc (0.000, 0.000, 0.000)

Output
The calculation puts the total energy at -7.496 eV per atom. For the formation energy, the calculation gives -0.23 eV per atom. The calculation puts the density of states at the Fermi level at 0.97 states/eV per atom.

Record 12
This record from Alexandria via LeMat-Bulk describes a relaxed structure of Sc2CoIr. The functional is PBE.

Cell: 4.488 4.488 4.488 Å, 60.00 60.00 60.00°
Fractional positions:
Sc (0.000, 0.000, 0.000)
Sc (0.750, 0.750, 0.750)
Ir (0.250, 0.250, 0.250)
Co (0.500, 0.500, 0.500)

Output
The calculation puts the total energy at -7.447 eV per atom. For the formation energy, the calculation gives -0.29 eV per atom. The calculation puts the density of states at the Fermi level at 1.33 states/eV per atom. The energy above the most stable polymorph in this dataset comes out at 166 kJ/mol of formula units.